Here is an optimized crystal structure of Li7FeNi3P6O24 from Alexandria via LeMat-Bulk. Energies are from GGA+U.

Computed properties:
- SG: R3, No. 146
- E_tot: -6.3510 eV per atom
- Volume: 464.49 Å³ per cell

```
Li7FeNi3P6O24
1.0
-3.6186 -0.1399 8.2652
-8.5104 -2.3827 1.8230
-2.3823 -7.4981 4.4193
Li O P Ni Fe
7 24 6 3 1
direct
0.6643 0.9254 0.2698
0.9254 0.2698 0.6643
0.3293 0.0731 0.7347
0.4565 0.4565 0.4565
0.7347 0.3293 0.0731
0.0731 0.7347 0.3293
0.2698 0.6643 0.9254
0.1782 0.5027 0.5313
0.6067 0.8149 0.9975
0.2097 0.1466 0.5480
0.5480 0.2097 0.1466
0.5027 0.5313 0.1782
0.1371 0.2517 0.8701
0.7509 0.1270 0.8528
0.5078 0.4692 0.8253
0.1466 0.5480 0.2097
0.8486 0.4618 0.7802
0.9885 0.3912 0.1997
0.8149 0.9975 0.6067
0.1270 0.8528 0.7509
0.8528 0.7509 0.1270
0.5313 0.1782 0.5027
0.4692 0.8253 0.5078
0.8253 0.5078 0.4692
0.8701 0.1371 0.2517
0.9975 0.6067 0.8149
0.4618 0.7802 0.8486
0.3912 0.1997 0.9885
0.7802 0.8486 0.4618
0.1997 0.9885 0.3912
0.2517 0.8701 0.1371
0.2508 0.9540 0.5443
0.4593 0.7484 0.0422
0.9540 0.5443 0.2508
0.7484 0.0422 0.4593
0.0422 0.4593 0.7484
0.5443 0.2508 0.9540
0.6510 0.6510 0.6510
0.3432 0.3432 0.3432
0.1439 0.1439 0.1439
0.8535 0.8535 0.8535
```